No. 1
Below is an optimized crystal structure of Si2NiPt, with properties calculated at the GGA-PBEsol level.

Unit cell a=2.860 b=3.953 c=4.851 alpha=90.00 beta=98.40 gamma=90.00
Atoms (fractional coordinates):
Ni  0.500  0.500  0.500
Pt  0.000  0.500  0.000
Si  0.830  0.000  0.712
Si  0.170  0.000  0.288

Summary:
The calculation puts the total energy at -25.71 eV/cell. As for the magnetic moment: 0.0000 μB per atom.



No. 2
Below is an optimized crystal structure of Si2NiPt, with properties calculated at the GGA-PBEsol level.

Unit cell a=4.160 b=4.160 c=4.160 alpha=60.00 beta=60.00 gamma=60.00
Atoms (fractional coordinates):
Ni  0.000  0.000  0.000
Pt  0.500  0.500  0.500
Si  0.250  0.250  0.250
Si  0.750  0.750  0.750

Summary:
The calculation puts the total energy at -25.88 eV/cell. As for the magnetic moment: 0.0000 μB per atom.



No. 3
Below is an optimized crystal structure of SiNiPt4, with properties calculated at the GGA-PBEsol level.

Unit cell a=5.151 b=5.151 c=5.151 alpha=60.00 beta=60.00 gamma=60.00
Site moments in Bohr magnetons follow the coordinates.
Atoms (fractional coordinates):
Ni  0.000  0.000  0.000  0.61
Pt  0.375  0.375  0.375  0.00
Pt  0.375  0.375  0.876  0.00
Pt  0.876  0.375  0.375  0.00
Pt  0.375  0.876  0.375  0.00
Si  0.750  0.750  0.750  0.00

Summary:
The calculation puts the total energy at -37.50 eV/cell. As for the magnetic moment: 0.0958 μB per atom.



No. 4
Below is an optimized crystal structure of Si2NiPt, with properties calculated at the GGA-PBEsol level.

Unit cell a=3.288 b=3.250 c=4.837 alpha=90.00 beta=90.00 gamma=90.00
Atoms (fractional coordinates):
Ni  0.000  0.000  0.452
Si  0.000  0.000  0.976
Si  0.500  0.500  0.289
Pt  0.500  0.500  0.784

Summary:
The calculation puts the total energy at -26.89 eV/cell. As for the magnetic moment: 0.0000 μB per atom.



No. 5
Below is an optimized crystal structure of SrNi2Pt, with properties calculated at the GGA-PBEsol level.

Unit cell a=3.778 b=4.102 c=4.102 alpha=90.00 beta=90.00 gamma=90.00
Site moments in Bohr magnetons follow the coordinates.
Atoms (fractional coordinates):
Ni  0.000  0.000  0.500  0.41
Ni  0.000  0.500  0.000  0.41
Pt  0.500  0.500  0.500  0.10
Sr  0.500  0.000  0.000  -0.02

Summary:
As for the magnetic moment: 0.2144 μB per atom. The calculation puts the formation energy from the elements at 0.175 eV/atom.



No. 6
Below is an optimized crystal structure of SrNiPt, with properties calculated at the GGA-PBEsol level.

Unit cell a=4.121 b=4.121 c=4.300 alpha=90.00 beta=90.00 gamma=120.00
Atoms (fractional coordinates):
Sr  0.667  0.333  0.500
Pt  0.333  0.667  0.000
Ni  0.000  0.000  0.000

Summary:
As for the magnetic moment: 0.0015 μB per atom. The calculation puts the formation energy from the elements at -0.397 eV/atom.